First-principles (PBE with a Hubbard U) data for an optimized crystal structure of VSbTe2F, as listed in the Alexandria database.

Its density of states at the Fermi level is 3.3 states/eV/f.u. The calculation puts the total magnetization at 0.00 μB per formula unit. The value obtained for the total energy is -18.6 eV per cell.

It has space group P4/mmm (No. 123), with a = 5.094 Å, b = 5.094 Å, c = 5.121 Å, α = 90.00°, β = 90.00° and γ = 90.00°. The inequivalent atoms are V at (0.000, 0.000, 0.000), Sb at (0.000, 0.000, 0.500), Te at (0.000, 0.500, 0.000) and F at (0.500, 0.500, 0.500).